(1)
A plane-wave DFT calculation with PBE was carried out for Ac3Ga2Ag after structural relaxation.

Computed properties:
- E above lowest polymorph (eV/atom) = 0.000
- crystal system = tetragonal
- total energy (eV per atom) = -3.92
- DOS(E_F) (states/eV/atom) = 0.8832
- spin magnetization (μB per formula unit) = 0.0
- formation energy from the elements (eV per atom) = -0.381

a = 3.915 Å, b = 3.915 Å, c = 11.900 Å
α = 90.00°, β = 90.00°, γ = 90.00°
Sites, in units of the cell vectors:
Ac (0.000, 0.000, 0.000)
Ac (0.000, 0.000, 0.328)
Ac (0.000, 0.000, 0.672)
Ga (0.500, 0.500, 0.167)
Ga (0.500, 0.500, 0.833)
Ag (0.500, 0.500, 0.500)

***

(2)
A plane-wave DFT calculation with PBE was carried out for AcGa3Ag after structural relaxation.

Computed properties:
- E above lowest polymorph (eV/atom) = 0.120
- crystal system = hexagonal
- total energy (eV per atom) = -3.56
- DOS(E_F) (states/eV/atom) = 0.4888
- spin magnetization (μB per formula unit) = 0.0
- formation energy from the elements (eV per atom) = -0.353

a = 6.545 Å, b = 6.545 Å, c = 6.093 Å
α = 90.00°, β = 90.00°, γ = 120.00°
Sites, in units of the cell vectors:
Ac (0.333, 0.667, 0.250)
Ac (0.667, 0.333, 0.750)
Ga (0.198, 0.396, 0.750)
Ga (0.198, 0.802, 0.750)
Ga (0.396, 0.198, 0.250)
Ga (0.604, 0.802, 0.750)
Ga (0.802, 0.198, 0.250)
Ga (0.802, 0.604, 0.250)
Ag (0.000, 0.000, 0.000)
Ag (0.000, 0.000, 0.500)

***

(3)
A plane-wave DFT calculation with PBE was carried out for AcGa7Ag5 after structural relaxation.

Computed properties:
- crystal system = orthorhombic
- total energy (eV per atom) = -3.21
- DOS(E_F) (states/eV/atom) = 0.4094
- spin magnetization (μB per formula unit) = 0.0
- formation energy from the elements (eV per atom) = -0.165

a = 7.238 Å, b = 7.238 Å, c = 7.238 Å
α = 133.36°, β = 97.30°, γ = 100.75°
Sites, in units of the cell vectors:
Ac (0.000, 0.000, 0.000)
Ga (0.202, 0.494, 0.707)
Ga (0.224, 0.724, 0.500)
Ga (0.360, 0.003, 0.357)
Ga (0.361, 0.361, 0.000)
Ga (0.644, 0.644, 0.000)
Ga (0.647, 0.003, 0.643)
Ga (0.787, 0.494, 0.293)
Ag (0.002, 0.498, 0.007)
Ag (0.002, 0.996, 0.505)
Ag (0.491, 0.498, 0.495)
Ag (0.491, 0.996, 0.993)
Ag (0.780, 0.280, 0.500)